Record 1
Below is a relaxed MnSn3P crystal, with properties calculated at the PBE level.

Output
Energy above the most stable polymorph in this dataset: 0.000 eV/atom

a b c (Å): 5.039 5.039 5.039
angles (deg): 90.00 90.00 90.00
Space group Pm-3m (No. 221)
Inequivalent atoms, fractional coordinates:
Mn1 0.000 0.000 0.000
Sn1 0.000 0.000 0.500
P1 0.500 0.500 0.500

Record 2
Below is a relaxed Mn3SnP crystal, with properties calculated at the PBE level.

a b c (Å): 4.186 4.186 4.186
angles (deg): 90.00 90.00 90.00
Space group Pm-3m (No. 221)
Inequivalent atoms, fractional coordinates:
Mn1 0.000 0.000 0.500
Sn1 0.500 0.500 0.500
P1 0.000 0.000 0.000

Record 3
Below is a relaxed TaMnSn2P crystal, with properties calculated at the PBE level.

a b c (Å): 5.121 5.121 4.185
angles (deg): 90.00 90.00 90.00
Space group P4/mmm (No. 123)
Inequivalent atoms, fractional coordinates:
Ta1 0.000 0.000 0.000
Mn1 0.500 0.500 0.500
Sn1 0.000 0.500 0.500
P1 0.500 0.500 0.000

Record 4
Below is a relaxed SrMnP2 crystal, with properties calculated at the PBE level.

Output
Energy above the most stable polymorph in this dataset: 0.160 eV/atom

a b c (Å): 4.186 3.809 11.528
angles (deg): 90.00 90.00 90.00
Space group Amm2 (No. 38)
Inequivalent atoms, fractional coordinates:
Sr1 0.000 0.000 0.000
Mn1 0.500 0.000 0.772
P1 0.000 0.000 0.710
P2 0.500 0.000 0.382

Record 5
Below is a relaxed SrMnP2 crystal, with properties calculated at the PBE level.

Output
Energy above the most stable polymorph in this dataset: 0.821 eV/atom

a b c (Å): 6.518 6.518 6.518
angles (deg): 90.00 90.00 90.00
Space group Fm-3m (No. 225)
Inequivalent atoms, fractional coordinates:
Sr1 0.000 0.000 0.000
Mn1 0.000 0.000 0.500
P1 0.250 0.250 0.250

Record 6
Below is a relaxed SrMn2P crystal, with properties calculated at the PBE level.

a b c (Å): 3.292 3.292 7.115
angles (deg): 90.00 90.00 90.00
Space group P4mm (No. 99)
Inequivalent atoms, fractional coordinates:
Sr1 0.000 0.000 0.000
Mn1 0.000 0.000 0.557
Mn2 0.500 0.500 0.346
P1 0.500 0.500 0.684

Table of energy of formation (eV per atom), in record order: 0.44; 0.19; 0.83; -0.44; 0.22; 0.03